[1]
First-principles (PBE) data for Ag2HgGeSe2S2 after structural relaxation, as listed in the Open Quantum Materials Database.

Values from the calculation:
volume: 25.66 Å³/atom
electronic total energy: -3.44 eV per atom

abc: 13.134 5.893 5.906
angles: 90.00 116.09 90.00
Space group C2 (No. 5)
Symmetry-distinct sites (fractional):
Ag 0.250 0.000 0.225 x4
Hg 0.000 0.002 0.500 x2
Ge 0.000 0.485 0.000 x2
Se 0.124 0.721 0.349 x4
S 0.116 0.270 0.891 x4

[2]
First-principles (PBE) data for TbHoGe2 after structural relaxation, as listed in the Open Quantum Materials Database.

Values from the calculation:
volume: 25.78 Å³/atom
electronic total energy: -5.19 eV per atom

abc: 4.075 18.548 5.457
angles: 90.00 90.00 90.00
Space group Cmcm (No. 63)
Symmetry-distinct sites (fractional):
Tb 0.000 0.079 0.250 x4
Ho 0.000 0.298 0.250 x4
Ge 0.000 0.312 0.750 x4
Ge 0.000 0.458 0.250 x4

[3]
First-principles (PBE) data for GdThNi after structural relaxation, as listed in the Open Quantum Materials Database.

Values from the calculation:
volume: 26.21 Å³/atom
formation energy: -0.03 eV/atom
electronic total energy: -5.91 eV per atom

abc: 6.800 6.800 6.800
angles: 90.00 90.00 90.00
Space group F-43m (No. 216)
Symmetry-distinct sites (fractional):
Gd 0.000 0.000 0.000 x4
Th 0.000 0.000 0.500 x4
Ni 0.250 0.250 0.250 x4

[4]
First-principles (PBE) data for TlGeW after structural relaxation, as listed in the Open Quantum Materials Database.

Values from the calculation:
volume: 21.13 Å³/atom
electronic total energy: -5.41 eV per atom

abc: 6.330 6.330 6.330
angles: 90.00 90.00 90.00
Space group F-43m (No. 216)
Symmetry-distinct sites (fractional):
Tl 0.000 0.000 0.000 x4
Ge 0.250 0.250 0.250 x4
W 0.000 0.000 0.500 x4

[5]
First-principles (PBE) data for HoTmIn after structural relaxation, as listed in the Open Quantum Materials Database.

Values from the calculation:
volume: 31.81 Å³/atom
electronic total energy: -4.01 eV per atom

abc: 7.254 7.254 7.254
angles: 90.00 90.00 90.00
Space group F-43m (No. 216)
Symmetry-distinct sites (fractional):
Ho 0.000 0.000 0.000 x4
Tm 0.000 0.000 0.500 x4
In 0.250 0.250 0.250 x4

[6]
First-principles (PBE) data for PrSi2P6 after structural relaxation, as listed in the Open Quantum Materials Database.

Values from the calculation:
volume: 20.61 Å³/atom
electronic total energy: -5.78 eV per atom

abc: 10.165 28.130 10.380
angles: 90.00 90.00 90.00
Space group Cmc2_1 (No. 36)
Symmetry-distinct sites (fractional):
Pr 0.000 0.040 0.000 x4
Pr 0.000 0.234 0.539 x4
Pr 0.000 0.311 0.016 x4
Pr 0.000 0.420 0.423 x4
Si 0.160 0.081 0.600 x8
Si 0.170 0.433 0.781 x8
Si 0.171 0.178 0.809 x8
Si 0.177 0.165 0.142 x8
P 0.000 0.042 0.703 x4
P 0.000 0.078 0.277 x4
P 0.000 0.157 0.278 x4
P 0.000 0.227 0.825 x4
P 0.000 0.320 0.297 x4
P 0.000 0.345 0.627 x4
P 0.000 0.424 0.060 x4
P 0.000 0.469 0.885 x4
P 0.153 0.046 0.401 x8
P 0.154 0.354 0.777 x8
P 0.159 0.457 0.177 x8
P 0.163 0.268 0.311 x8
P 0.201 0.471 0.593 x8
P 0.204 0.157 0.599 x8
P 0.206 0.121 0.961 x8
P 0.207 0.243 0.112 x8

[7]
First-principles (PBE) data for MoS2 after structural relaxation, as listed in the Open Quantum Materials Database.

Values from the calculation:
volume: 32.90 Å³/atom
electronic total energy: -7.23 eV per atom

abc: 3.176 22.594 5.502
angles: 90.00 90.00 90.00
Space group Fmm2 (No. 42)
Symmetry-distinct sites (fractional):
Mo 0.000 0.000 0.000 x4
S 0.000 0.069 0.667 x8

[8]
First-principles (PBE) data for DyBePd after structural relaxation, as listed in the Open Quantum Materials Database.

Values from the calculation:
volume: 20.69 Å³/atom
electronic total energy: -4.70 eV per atom

abc: 6.285 6.285 6.285
angles: 90.00 90.00 90.00
Space group F-43m (No. 216)
Symmetry-distinct sites (fractional):
Dy 0.000 0.000 0.000 x4
Be 0.000 0.000 0.500 x4
Pd 0.250 0.250 0.750 x4

[9]
First-principles (PBE) data for Dy2Er3S7 after structural relaxation, as listed in the Open Quantum Materials Database.

Values from the calculation:
volume: 22.45 Å³/atom
electronic total energy: -6.39 eV per atom

abc: 12.731 3.789 11.541
angles: 90.00 104.54 90.00
Space group C2/m (No. 12)
Symmetry-distinct sites (fractional):
Dy 0.200 0.000 0.312 x4
Er 0.000 0.500 0.500 x2
Er 0.112 0.500 0.922 x4
S 0.000 0.000 0.000 x2
S 0.039 0.500 0.285 x4
S 0.158 0.000 0.550 x4
S 0.240 0.000 0.854 x4

[10]
First-principles (PBE) data for NpPt4Au after structural relaxation, as listed in the Open Quantum Materials Database.

Values from the calculation:
volume: 17.92 Å³/atom
formation energy: -0.37 eV/atom
electronic total energy: -7.08 eV per atom

abc: 7.548 7.548 7.548
angles: 90.00 90.00 90.00
Space group F-43m (No. 216)
Symmetry-distinct sites (fractional):
Np 0.000 0.000 0.000 x4
Pt 0.125 0.125 0.625 x16
Au 0.250 0.250 0.250 x4

[11]
First-principles (PBE) data for BeNiAgB after structural relaxation, as listed in the Open Quantum Materials Database.

Values from the calculation:
volume: 10.97 Å³/atom
electronic total energy: -4.01 eV per atom

abc: 5.599 5.599 5.599
angles: 90.00 90.00 90.00
Space group F-43m (No. 216)
Symmetry-distinct sites (fractional):
Be 0.000 0.000 0.000 x4
Ni 0.250 0.250 0.750 x4
Ag 0.000 0.000 0.500 x4
B 0.250 0.250 0.250 x4

[12]
First-principles (PBE) data for Li2NbSi after structural relaxation, as listed in the Open Quantum Materials Database.

Values from the calculation:
volume: 14.14 Å³/atom
electronic total energy: -4.83 eV per atom

abc: 6.094 6.094 6.094
angles: 90.00 90.00 90.00
Space group F-43m (No. 216)
Symmetry-distinct sites (fractional):
Li 0.000 0.000 0.000 x4
Li 0.250 0.250 0.250 x4
Nb 0.250 0.250 0.750 x4
Si 0.000 0.000 0.500 x4

[13]
First-principles (PBE) data for RbTbCu3S4 after structural relaxation, as listed in the Open Quantum Materials Database.

Values from the calculation:
volume: 23.47 Å³/atom
electronic total energy: -4.50 eV per atom

abc: 5.869 7.291 10.090
angles: 90.00 101.93 90.00
Space group P2_1/m (No. 11)
Symmetry-distinct sites (fractional):
Rb 0.235 0.250 0.394 x2
Tb 0.102 0.250 0.811 x2
Cu 0.302 0.567 0.020 x4
Cu 0.425 0.750 0.261 x2
S 0.011 0.250 0.057 x2
S 0.208 0.750 0.414 x2
S 0.409 0.511 0.803 x4

[14]
First-principles (PBE) data for NdAl5FeIr after structural relaxation, as listed in the Open Quantum Materials Database.

Values from the calculation:
volume: 17.76 Å³/atom
electronic total energy: -5.62 eV per atom

abc: 3.996 7.256 9.799
angles: 90.00 90.00 90.00
Space group Imm2 (No. 44)
Symmetry-distinct sites (fractional):
Nd 0.000 0.000 0.000 x2
Al 0.000 0.184 0.665 x4
Al 0.000 0.195 0.346 x4
Al 0.000 0.500 0.011 x2
Fe 0.000 0.500 0.246 x2
Ir 0.000 0.500 0.766 x2

[15]
First-principles (PBE) data for ZrCoSnPt after structural relaxation, as listed in the Open Quantum Materials Database.

Values from the calculation:
volume: 17.11 Å³/atom
electronic total energy: -6.91 eV per atom

abc: 6.493 6.493 6.493
angles: 90.00 90.00 90.00
Space group F-43m (No. 216)
Symmetry-distinct sites (fractional):
Zr 0.000 0.000 0.000 x4
Co 0.250 0.250 0.750 x4
Sn 0.000 0.000 0.500 x4
Pt 0.250 0.250 0.250 x4

[16]
First-principles (PBE) data for LiScAu2 after structural relaxation, as listed in the Open Quantum Materials Database.

Values from the calculation:
volume: 17.78 Å³/atom
electronic total energy: -4.39 eV per atom

abc: 6.577 6.577 6.577
angles: 90.00 90.00 90.00
Space group Fm-3m (No. 225)
Symmetry-distinct sites (fractional):
Li 0.000 0.000 0.000 x4
Sc 0.000 0.000 0.500 x4
Au 0.250 0.250 0.250 x8

[17]
First-principles (PBE) data for Al5Ni7 after structural relaxation, as listed in the Open Quantum Materials Database.

Values from the calculation:
volume: 13.07 Å³/atom
electronic total energy: -4.79 eV per atom

abc: 4.8006 4.8006 15.7182
angles: 90.00 90.00 120.00
Space group P6_3/mmc (No. 194)
Symmetry-distinct sites (fractional):
Al 0.1641 0.3281 0.2500 x6
Al 0.3333 0.6667 0.1150 x4
Ni 0.0000 0.0000 0.1126 x4
Ni 0.0000 0.5000 0.0000 x6
Ni 0.3333 0.6667 0.6654 x4

[18]
First-principles (PBE) data for Sc3Zn2Co3 after structural relaxation, as listed in the Open Quantum Materials Database.

Values from the calculation:
volume: 15.42 Å³/atom
formation energy: 0.00 eV/atom
electronic total energy: -5.35 eV per atom

abc: 4.606 5.935 9.024
angles: 90.00 90.00 90.00
Space group Amm2 (No. 38)
Symmetry-distinct sites (fractional):
Sc 0.000 0.000 0.000 x2
Sc 0.500 0.239 0.609 x4
Zn 0.000 0.000 0.493 x2
Zn 0.500 0.000 0.855 x2
Co 0.000 0.234 0.255 x4
Co 0.500 0.000 0.346 x2

[19]
First-principles (PBE) data for Er3Lu2HfTe2Os after structural relaxation, as listed in the Open Quantum Materials Database.

Values from the calculation:
volume: 25.22 Å³/atom
electronic total energy: -6.29 eV per atom

abc: 3.963 13.967 8.204
angles: 90.00 90.00 90.00
Space group Amm2 (No. 38)
Symmetry-distinct sites (fractional):
Er 0.000 0.000 0.000 x2
Er 0.000 0.192 0.398 x4
Lu 0.500 0.116 0.715 x4
Hf 0.500 0.000 0.355 x2
Te 0.500 0.166 0.095 x4
Os 0.000 0.000 0.563 x2

[20]
First-principles (PBE) data for RbInHg after structural relaxation, as listed in the Open Quantum Materials Database.

Values from the calculation:
volume: 40.68 Å³/atom
electronic total energy: -1.29 eV per atom

abc: 7.874 7.874 7.874
angles: 90.00 90.00 90.00
Space group F-43m (No. 216)
Symmetry-distinct sites (fractional):
Rb 0.000 0.000 0.000 x4
In 0.000 0.000 0.500 x4
Hg 0.250 0.250 0.750 x4